A plane-wave DFT calculation with PBE was carried out for a geometry-optimized Ti7Nb5Sb structure.

The value obtained for the total magnetization is 0.000 μB/cell. For the total energy, the calculation gives -215.87 eV for the cell shown.

It has space group Imm2 (No. 44), with a = 5.498 Å, b = 9.605 Å, c = 9.271 Å, α = 90.00°, β = 90.00° and γ = 90.00°. Symmetry generates all atoms from Ti at (0.000, 0.000, 0.000), Ti at (0.000, 0.000, 0.335), Ti at (0.000, 0.299, 0.853), Ti at (0.000, 0.347, 0.360), Ti at (0.000, 0.500, 0.052), Nb at (0.000, 0.500, 0.642), Nb at (0.242, 0.246, 0.101) and Sb at (0.000, 0.000, 0.694).

A plane-wave DFT calculation with PBE was carried out for a geometry-optimized Ti6NbSb structure.

The value obtained for the total magnetization is 0.529 μB/cell. For the total energy, the calculation gives -183.44 eV for the cell shown. The energy relative to the lowest polymorph listed for this composition is 204.4 meV per atom.

It has space group R-3m (No. 166, hexagonal axes), with a = 9.5084 Å, b = 9.5084 Å, c = 5.6086 Å, α = 90.00°, β = 90.00° and γ = 120.00°. Symmetry generates all atoms from Ti at (0.0031, 0.5016, 0.2419), Nb at (0.0000, 0.0000, 0.5000) and Sb at (0.0000, 0.0000, 0.0000).

A plane-wave DFT calculation with PBE was carried out for a geometry-optimized TiNbSb structure.

The value obtained for the total magnetization is 0.000 μB/cell. For the total energy, the calculation gives -22.14 eV for the cell shown.

It has space group P3m1 (No. 156), with a = 4.6736 Å, b = 4.6736 Å, c = 3.0029 Å, α = 90.00°, β = 90.00° and γ = 120.00°. Symmetry generates all atoms from Ti at (0.0000, 0.0000, 0.0000), Nb at (0.6667, 0.3333, 0.3120) and Sb at (0.3333, 0.6667, 0.6763).

Please write out number 3 again, unchanged.
A plane-wave DFT calculation with PBE was carried out for a geometry-optimized TiNbSb structure.

The value obtained for the total magnetization is 0.000 μB/cell. For the total energy, the calculation gives -22.14 eV for the cell shown.

It has space group P3m1 (No. 156), with a = 4.6736 Å, b = 4.6736 Å, c = 3.0029 Å, α = 90.00°, β = 90.00° and γ = 120.00°. Symmetry generates all atoms from Ti at (0.0000, 0.0000, 0.0000), Nb at (0.6667, 0.3333, 0.3120) and Sb at (0.3333, 0.6667, 0.6763).

What did the second record say?
A plane-wave DFT calculation with PBE was carried out for a geometry-optimized Ti6NbSb structure.

The value obtained for the total magnetization is 0.529 μB/cell. For the total energy, the calculation gives -183.44 eV for the cell shown. The energy relative to the lowest polymorph listed for this composition is 204.4 meV per atom.

It has space group R-3m (No. 166, hexagonal axes), with a = 9.5084 Å, b = 9.5084 Å, c = 5.6086 Å, α = 90.00°, β = 90.00° and γ = 120.00°. Symmetry generates all atoms from Ti at (0.0031, 0.5016, 0.2419), Nb at (0.0000, 0.0000, 0.5000) and Sb at (0.0000, 0.0000, 0.0000).